1.
KBAu | PBE | relaxed

- Electronic total energy: -2.5187 eV/atom
- Offset from the most stable computed form: 0.0 meV per atom

The structure in POSCAR format:
```
KBAu
1.0
1.624 0.634 4.199
-1.944 3.052 2.752
-2.402 -1.391 3.601
Au B K
1 1 1
Direct
0.250 0.250 0.250
0.000 0.000 0.000
0.750 0.750 0.750
```

=====

2.
RbErHgO3 | PBE | relaxed

- Electronic total energy: -5.3333 eV/atom

The structure in POSCAR format:
```
RbErHgO3
1.0
-6.977 2.175 0.027
-7.052 -0.947 -1.669
-1.284 -4.214 7.815
Er Hg O Rb
2 2 6 2
Direct
0.000 0.000 0.000
0.000 0.000 0.500
0.395 0.395 0.250
0.605 0.605 0.750
0.397 0.397 0.022
0.026 0.026 0.250
0.397 0.397 0.478
0.603 0.603 0.522
0.974 0.974 0.750
0.603 0.603 0.978
0.683 0.683 0.250
0.317 0.317 0.750
```

=====

3.
ZrTa2Tc3 | PBE | relaxed

- ΔH_f (0 K): -0.4650 eV/atom
- Electronic total energy: -11.0206 eV/atom

The structure in POSCAR format:
```
ZrTa2Tc3
1.0
-1.540 2.241 -1.711
-2.211 -2.169 -0.851
-5.275 2.321 7.789
Ta Tc Zr
2 3 1
Direct
0.000 0.000 0.165
0.000 0.000 0.835
0.500 0.500 0.000
0.500 0.500 0.323
0.500 0.500 0.677
0.000 0.000 0.500
```

=====

4.
BeCdCuBi | PBE | relaxed

- Electronic total energy: -2.6107 eV/atom
- Offset from the most stable computed form: 0.0 meV per atom

The structure in POSCAR format:
```
BeCdCuBi
1.0
-2.657 -3.122 2.383
-4.235 1.296 1.693
-3.962 -1.721 -1.955
Be Bi Cd Cu
1 1 1 1
Direct
0.250 0.250 0.250
0.000 0.000 0.000
0.500 0.500 0.500
0.750 0.750 0.750
```